(1)
Compound: CdWCl2
Source: Alexandria via LeMat-Bulk
Functional: PBE-GGA
Structure: relaxed

abc: 6.123 6.123 6.123
angles: 142.00 142.00 54.83
Atoms (fractional coordinates):
Cd1 0.000 0.000 0.000
W1 0.750 0.250 0.500
Cl1 0.250 0.750 0.500
Cl2 0.500 0.500 0.000

Values from the calculation:
total magnetization = 3.92 μB/cell
distance to the lowest polymorph of the same formula = 932 meV per atom
crystal system = tetragonal
DOS at the Fermi energy = 1.6 states/eV/f.u.

(2)
Compound: La3Y7Tm
Source: Alexandria via LeMat-Bulk
Functional: PBE-GGA
Structure: relaxed

abc: 6.583 6.775 8.716
angles: 99.94 98.19 95.20
Atoms (fractional coordinates):
La1 0.000 0.000 0.000
La2 0.194 0.562 0.166
La3 0.806 0.438 0.834
Y1 0.010 0.770 0.579
Y2 0.285 0.277 0.789
Y3 0.439 0.793 0.852
Y4 0.500 0.500 0.500
Y5 0.561 0.207 0.148
Y6 0.715 0.723 0.211
Y7 0.990 0.230 0.421
Tm1 0.500 0.000 0.500

Values from the calculation:
ΔE_f = 121 meV per atom
total magnetization = 0.00 μB/cell
distance to the lowest polymorph of the same formula = 0 meV per atom
crystal system = triclinic
DOS at the Fermi energy = 19.1 states/eV/f.u.

(3)
Compound: LaY6Er3Sc2
Source: Alexandria via LeMat-Bulk
Functional: PBE-GGA
Structure: relaxed

abc: 6.092 6.092 11.692
angles: 94.96 94.96 119.97
Atoms (fractional coordinates):
La1 0.000 0.000 0.000
Y1 0.084 0.420 0.249
Y2 0.253 0.253 0.751
Y3 0.420 0.084 0.249
Y4 0.580 0.916 0.751
Y5 0.747 0.747 0.249
Y6 0.916 0.580 0.751
Er1 0.167 0.833 0.500
Er2 0.500 0.500 0.500
Er3 0.833 0.167 0.500
Sc1 0.333 0.667 0.000
Sc2 0.667 0.333 0.000

Values from the calculation:
ΔE_f = 47 meV per atom
total magnetization = 0.00 μB/cell
crystal system = monoclinic
DOS at the Fermi energy = 18.5 states/eV/f.u.

(4)
Compound: HgAsOs2
Source: Alexandria via LeMat-Bulk
Functional: PBE-GGA
Structure: relaxed

abc: 2.789 3.596 7.599
angles: 90.00 100.41 90.00
Atoms (fractional coordinates):
Hg1 0.000 0.000 0.000
As1 0.817 0.500 0.636
Os1 0.215 0.000 0.434
Os2 0.634 0.500 0.266

Values from the calculation:
ΔE_f = 512 meV per atom
total magnetization = 0.00 μB/cell
distance to the lowest polymorph of the same formula = 117 meV per atom
crystal system = monoclinic
DOS at the Fermi energy = 3.0 states/eV/f.u.

(5)
Compound: Rb2TiCr
Source: Alexandria via LeMat-Bulk
Functional: PBE-GGA
Structure: relaxed

abc: 6.381 6.381 6.381
angles: 60.00 60.00 60.00
Atoms (fractional coordinates):
Rb1 0.250 0.250 0.250
Rb2 0.750 0.750 0.750
Ti1 0.000 0.000 0.000
Cr1 0.500 0.500 0.500

Values from the calculation:
ΔE_f = 1540 meV per atom
total magnetization = 8.11 μB/cell
distance to the lowest polymorph of the same formula = 268 meV per atom
crystal system = cubic
DOS at the Fermi energy = 2.7 states/eV/f.u.

(6)
Compound: CeSm4Rh3
Source: Alexandria via LeMat-Bulk
Functional: PBE-GGA
Structure: relaxed

abc: 8.523 8.523 8.523
angles: 97.42 97.42 137.86
Atoms (fractional coordinates):
Ce1 0.250 0.750 0.500
Ce2 0.750 0.250 0.500
Sm1 0.085 0.790 0.875
Sm2 0.210 0.085 0.295
Sm3 0.290 0.585 0.875
Sm4 0.415 0.290 0.705
Sm5 0.585 0.710 0.295
Sm6 0.710 0.415 0.125
Sm7 0.790 0.915 0.705
Sm8 0.915 0.210 0.125
Rh1 0.151 0.349 0.500
Rh2 0.250 0.250 0.000
Rh3 0.349 0.849 0.198
Rh4 0.651 0.151 0.802
Rh5 0.750 0.750 0.000
Rh6 0.849 0.651 0.500

Values from the calculation:
ΔE_f = -587 meV per atom
total magnetization = 2.01 μB/cell
crystal system = tetragonal
DOS at the Fermi energy = 9.5 states/eV/f.u.

(7)
Compound: ErHgRhAu
Source: Alexandria via LeMat-Bulk
Functional: PBE-GGA
Structure: relaxed

abc: 4.805 4.805 4.805
angles: 60.00 60.00 60.00
Atoms (fractional coordinates):
Er1 0.000 0.000 0.000
Hg1 0.500 0.500 0.500
Rh1 0.750 0.750 0.750
Au1 0.250 0.250 0.250

Values from the calculation:
ΔE_f = -489 meV per atom
total magnetization = 0.00 μB/cell
crystal system = cubic
DOS at the Fermi energy = 2.2 states/eV/f.u.

(8)
Compound: PuURu2
Source: Alexandria via LeMat-Bulk
Functional: PBE-GGA
Structure: relaxed

abc: 5.975 5.394 10.559
angles: 90.00 103.15 90.00
Atoms (fractional coordinates):
Pu1 0.187 0.178 0.148
Pu2 0.187 0.822 0.648
Pu3 0.813 0.178 0.352
Pu4 0.813 0.822 0.852
U1 0.361 0.327 0.874
U2 0.361 0.673 0.374
U3 0.639 0.327 0.626
U4 0.639 0.673 0.126
Ru1 0.130 0.327 0.650
Ru2 0.130 0.673 0.150
Ru3 0.343 0.195 0.443
Ru4 0.343 0.805 0.943
Ru5 0.657 0.195 0.057
Ru6 0.657 0.805 0.557
Ru7 0.870 0.327 0.850
Ru8 0.870 0.673 0.350

Values from the calculation:
ΔE_f = -150 meV per atom
total magnetization = 23.32 μB/cell
crystal system = monoclinic
DOS at the Fermi energy = 9.9 states/eV/f.u.

> Look up the total magnetization of the fifth one.

8.11 μB/cell

> Which of these has the highest total magnetization?

PuURu2

Copy entry 3 word for word.
Compound: LaY6Er3Sc2
Source: Alexandria via LeMat-Bulk
Functional: PBE-GGA
Structure: relaxed

abc: 6.092 6.092 11.692
angles: 94.96 94.96 119.97
Atoms (fractional coordinates):
La1 0.000 0.000 0.000
Y1 0.084 0.420 0.249
Y2 0.253 0.253 0.751
Y3 0.420 0.084 0.249
Y4 0.580 0.916 0.751
Y5 0.747 0.747 0.249
Y6 0.916 0.580 0.751
Er1 0.167 0.833 0.500
Er2 0.500 0.500 0.500
Er3 0.833 0.167 0.500
Sc1 0.333 0.667 0.000
Sc2 0.667 0.333 0.000

Values from the calculation:
ΔE_f = 47 meV per atom
total magnetization = 0.00 μB/cell
crystal system = monoclinic
DOS at the Fermi energy = 18.5 states/eV/f.u.

> Which of these has the lowest DOS at the Fermi energy?

CdWCl2